(1)
{
  "formula": "Pm4Dy2Y2Tm",
  "functional": "GGA-PBE",
  "state": "optimized geometry",
  "cell": [[3.590, 0.000, 0.000], [-1.795, 9.192, 1.611], [0.000, -1.520, 8.675]],
  "species": ["Pm", "Pm", "Pm", "Pm", "Dy", "Dy", "Y", "Y", "Tm"],
  "frac_coords": [[0.777, 0.555, 0.668], [0.223, 0.445, 0.332], [0.555, 0.109, 0.330], [0.445, 0.891, 0.670], [0.889, 0.779, 0.332], [0.111, 0.221, 0.668], [0.334, 0.669, 0.001], [0.666, 0.331, 0.999], [0.000, 0.000, 0.000]],
  "e_tot_ev_per_cell": -45.45,
  "space_group": "No. 12",
  "ef_ev_per_atom": 0.018
}

=====

(2)
{
  "formula": "PmTm2Ag4",
  "functional": "GGA-PBE",
  "state": "optimized geometry",
  "cell": [[5.866, 0.137, -1.981], [-2.885, 5.007, -2.229], [0.079, -0.137, 6.191]],
  "species": ["Tm", "Tm", "Ag", "Ag", "Ag", "Ag", "Pm"],
  "frac_coords": [[0.500, 0.500, 0.000], [0.500, 0.000, 0.500], [0.500, 0.000, 0.000], [0.500, 0.500, 0.500], [0.000, 0.000, 0.500], [0.000, 0.500, 0.000], [0.000, 0.000, 0.000]],
  "e_tot_ev_per_cell": -25.69,
  "space_group": "No. 139",
  "ef_ev_per_atom": -0.085
}

=====

(3)
{
  "formula": "CuTc3H",
  "functional": "GGA-PBE",
  "state": "optimized geometry",
  "cell": [[-1.306, 3.640, 0.331], [-3.076, -0.904, -2.189], [-1.976, -0.999, 3.188]],
  "species": ["H", "Tc", "Tc", "Tc", "Cu"],
  "frac_coords": [[0.000, 0.000, 0.000], [0.000, 0.500, 0.000], [0.000, 0.000, 0.500], [0.500, 0.000, 0.000], [0.500, 0.500, 0.500]],
  "e_tot_ev_per_cell": -37.38,
  "space_group": "No. 221",
  "de_polymorph_ev_per_fu": 0.000
}

=====

(4)
{
  "formula": "Pu2ZnN",
  "functional": "GGA-PBE",
  "state": "optimized geometry",
  "cell": [[-2.530, 1.544, 0.665], [-0.450, -1.780, 2.420], [4.060, 4.805, 4.289]],
  "species": ["Zn", "N", "Pu", "Pu"],
  "frac_coords": [[0.500, 0.500, 0.500], [0.500, 0.500, 0.000], [0.000, 0.000, 0.810], [0.000, 0.000, 0.190]],
  "e_tot_ev_per_cell": -39.49,
  "space_group": "No. 123",
  "formation_energy_uncorrected_ev_per_atom": -0.307,
  "de_polymorph_ev_per_fu": 0.758
}